(1)
# LiFePb2O6

LiFePb2O6 after structural relaxation (PBE+U, the Alexandria database).

Summary:
Symmetry: R3 (146)

Cell: 5.402 5.402 5.693 Å, 61.67 61.67 60.00°
Element x y z (fractional)
O  0.580  0.209  0.246
O  0.966  0.580  0.246
O  0.682  0.115  0.770
O  0.209  0.966  0.246
O  0.115  0.433  0.770
O  0.433  0.682  0.770
Pb  0.024  0.024  0.929
Pb  0.532  0.532  0.404
Li  0.800  0.800  0.600
Fe  0.323  0.323  0.032


(2)
# Li3Fe2PdO6

Li3Fe2PdO6 after structural relaxation (PBE+U, the Alexandria database).

Summary:
Symmetry: C2/m (12)

Cell: 5.110 5.110 5.185 Å, 100.99 100.99 118.30°
Element x y z (fractional)
O  0.282  0.282  0.759
O  0.920  0.574  0.781
O  0.080  0.426  0.219
O  0.718  0.718  0.241
O  0.426  0.080  0.219
O  0.574  0.920  0.781
Li  0.500  0.500  0.500
Li  0.161  0.839  0.500
Li  0.839  0.161  0.500
Fe  0.665  0.335  0.000
Fe  0.335  0.665  0.000
Pd  0.000  0.000  0.000


(3)
# LiPm2FeO5

LiPm2FeO5 after structural relaxation (PBE+U, the Alexandria database).

Summary:
Symmetry: Cmc2_1 (36)

Cell: 3.409 7.045 9.277 Å, 90.00 90.00 104.00°
Element x y z (fractional)
Pm  0.128  0.255  0.683
Pm  0.122  0.243  0.304
Pm  0.878  0.757  0.804
Pm  0.872  0.745  0.183
O  0.511  0.021  0.792
O  0.489  0.979  0.292
O  0.359  0.718  0.003
O  0.304  0.608  0.353
O  0.689  0.378  0.148
O  0.965  0.929  0.553
O  0.311  0.622  0.648
O  0.696  0.392  0.853
O  0.035  0.071  0.053
O  0.641  0.282  0.503
Fe  0.579  0.158  0.984
Fe  0.421  0.842  0.484
Li  0.225  0.450  0.002
Li  0.775  0.550  0.502


(4)
# LiPm2FeO6

LiPm2FeO6 after structural relaxation (PBE+U, the Alexandria database).

Summary:
Symmetry: Fm-3m (225)

Cell: 5.347 5.347 7.563 Å, 90.00 90.00 90.00°
Element x y z (fractional)
Fe  0.500  0.250  0.500
Fe  0.000  0.750  0.000
Li  0.000  0.750  0.500
Li  0.500  0.250  0.000
O  0.256  0.493  0.500
O  0.756  0.507  0.000
O  0.256  0.006  0.500
O  0.244  0.507  0.000
O  0.756  0.994  0.000
O  0.500  0.250  0.744
O  0.744  0.006  0.500
O  0.744  0.493  0.500
O  0.500  0.250  0.256
O  0.000  0.750  0.244
O  0.244  0.994  0.000
O  0.000  0.750  0.756
Pm  0.500  0.750  0.750
Pm  0.000  0.250  0.250
Pm  0.000  0.250  0.750
Pm  0.500  0.750  0.250


(5)
# LiPr2FeO5

LiPr2FeO5 after structural relaxation (PBE+U, the Alexandria database).

Summary:
Symmetry: Cmc2_1 (36)

Cell: 3.463 7.125 9.385 Å, 90.00 90.00 104.06°
Element x y z (fractional)
Li  0.225  0.449  0.002
Li  0.775  0.551  0.502
O  0.512  0.023  0.793
O  0.358  0.716  0.004
O  0.964  0.927  0.549
O  0.036  0.073  0.049
O  0.312  0.625  0.647
O  0.688  0.375  0.147
O  0.488  0.977  0.293
O  0.696  0.392  0.856
O  0.304  0.608  0.356
O  0.642  0.284  0.504
Fe  0.420  0.839  0.484
Fe  0.580  0.161  0.984
Pr  0.121  0.241  0.306
Pr  0.879  0.759  0.806
Pr  0.872  0.744  0.184
Pr  0.128  0.256  0.684


(6)
# LiFePtO2

LiFePtO2 after structural relaxation (PBE+U, the Alexandria database).

Summary:
Symmetry: P4/mmm (123)

Cell: 3.732 4.992 3.732 Å, 90.00 90.00 90.00°
Element x y z (fractional)
O  0.500  0.000  0.000
O  0.000  0.000  0.500
Li  0.500  0.500  0.500
Pt  0.000  0.500  0.000
Fe  0.000  0.000  0.000


| no. | total energy (Ry/atom) |
| --- | --- |
| 1 | -0.405 |
| 2 | -0.406 |
| 3 | -0.533 |
| 4 | -0.511 |
| 5 | -0.530 |
| 6 | -0.363 |